(1)
This record from Alexandria describes La3Nd8Y2 after structural relaxation. The functional is PBE.

Calculated values
V, A^3/atom: 35.7
Size of the total moment, μB per formula unit: 0.000
Calculated density, Mg/m³: 6.26
Energy relative to the elements, eV per formula unit: 2.08
Polymorph energy (0 for the lowest one), kJ per mole of atoms: 0.00

POSCAR file:
```
La3Nd8Y2
1.0
7.406 -5.630 0.000
7.406 5.630 0.000
-1.902 0.000 5.564
La Nd Y
3 8 2
Direct
0.000 0.000 0.000
0.246 0.754 0.500
0.754 0.246 0.500
0.057 0.594 0.829
0.168 0.168 0.611
0.406 0.943 0.171
0.424 0.424 0.758
0.576 0.576 0.242
0.594 0.057 0.829
0.832 0.832 0.389
0.943 0.406 0.171
0.326 0.326 0.189
0.674 0.674 0.811
```

(2)
This record from Alexandria describes Ho3Er2Ag2 after structural relaxation. The functional is PBE.

Calculated values
V, A^3/atom: 26.8
Size of the total moment, μB per formula unit: 0.000
Calculated density, Mg/m³: 9.24
Energy relative to the elements, eV per formula unit: -1.18
Polymorph energy (0 for the lowest one), kJ per mole of atoms: 0.00

POSCAR file:
```
Ho3Er2Ag2
1.0
-1.786 1.786 14.722
1.786 -1.786 14.722
1.786 1.786 -14.722
Ho Er Ag
3 2 2
Direct
0.000 0.000 0.000
0.125 0.125 0.000
0.875 0.875 0.000
0.291 0.291 0.000
0.709 0.709 0.000
0.438 0.438 0.000
0.562 0.562 0.000
```

(3)
This record from Alexandria describes VNi3As after structural relaxation. The functional is PBE.

Calculated values
V, A^3/atom: 16.0
Size of the total moment, μB per formula unit: 0.000
Calculated density, Mg/m³: 6.28
Energy relative to the elements, eV per formula unit: 5.09
Polymorph energy (0 for the lowest one), kJ per mole of atoms: 45.90

POSCAR file:
```
VNi3As
1.0
4.306 0.000 0.000
0.000 4.306 0.000
0.000 0.000 4.306
V Ni As
1 3 1
Direct
0.000 0.000 0.000
0.000 0.000 0.500
0.000 0.500 0.000
0.500 0.000 0.000
0.500 0.500 0.500
```

(4)
This record from Alexandria describes Er2Mg3Sc2 after structural relaxation. The functional is PBE.

Calculated values
V, A^3/atom: 29.9
Size of the total moment, μB per formula unit: 0.000
Calculated density, Mg/m³: 3.95
Energy relative to the elements, eV per formula unit: 2.50
Polymorph energy (0 for the lowest one), kJ per mole of atoms: 30.57

POSCAR file:
```
Er2Mg3Sc2
1.0
7.719 -2.602 0.000
7.719 2.602 0.000
-1.458 0.000 5.207
Er Mg Sc
2 3 2
Direct
0.076 0.076 0.289
0.924 0.924 0.711
0.188 0.188 0.875
0.500 0.500 0.500
0.812 0.812 0.125
0.299 0.299 0.469
0.701 0.701 0.531
```

(5)
This record from Alexandria describes Tc3SnN after structural relaxation. The functional is PBE.

Calculated values
V, A^3/atom: 17.4
Size of the total moment, μB per formula unit: 0.000
Calculated density, Mg/m³: 8.13
Polymorph energy (0 for the lowest one), kJ per mole of atoms: 52.16

POSCAR file:
```
Tc3SnN
1.0
2.533 -7.293 0.000
2.533 7.293 0.000
0.000 0.000 4.718
Tc Sn N
6 2 2
Direct
0.000 0.000 0.000
0.000 0.000 0.500
0.051 0.473 0.750
0.473 0.051 0.250
0.527 0.949 0.750
0.949 0.527 0.250
0.399 0.601 0.250
0.601 0.399 0.750
0.114 0.886 0.250
0.886 0.114 0.750
```

(6)
This record from Alexandria describes La2YHo3 after structural relaxation. The functional is PBE.

Calculated values
V, A^3/atom: 33.6
Size of the total moment, μB per formula unit: 0.000
Calculated density, Mg/m³: 7.10
Energy relative to the elements, eV per formula unit: 1.14
Polymorph energy (0 for the lowest one), kJ per mole of atoms: 9.51

POSCAR file:
```
La2YHo3
1.0
5.180 -5.776 0.000
5.180 5.776 0.000
-0.156 0.000 6.732
La Y Ho
4 2 6
Direct
0.072 0.588 0.756
0.412 0.928 0.744
0.588 0.072 0.256
0.928 0.412 0.244
0.000 0.000 0.000
0.000 0.000 0.500
0.269 0.731 0.250
0.333 0.337 0.502
0.337 0.333 0.002
0.663 0.667 0.998
0.667 0.663 0.498
0.731 0.269 0.750
```

(7)
This record from Alexandria describes K2CuMo after structural relaxation. The functional is PBE.

Calculated values
V, A^3/atom: 31.4
Size of the total moment, μB per formula unit: 2.842
Calculated density, Mg/m³: 3.14
Energy relative to the elements, eV per formula unit: 3.60
Polymorph energy (0 for the lowest one), kJ per mole of atoms: 3.36

POSCAR file:
```
K2CuMo
1.0
3.496 0.000 0.000
0.000 3.496 0.000
0.000 0.000 10.284
K Cu Mo
2 1 1
Direct
0.000 0.000 0.000
0.500 0.500 0.414
0.500 0.500 0.754
0.000 0.000 0.679
```

(8)
This record from Alexandria describes Ho3ErIn4 after structural relaxation. The functional is PBE.

Calculated values
V, A^3/atom: 28.1
Size of the total moment, μB per formula unit: 0.000
Calculated density, Mg/m³: 8.29
Energy relative to the elements, eV per formula unit: -2.40
Polymorph energy (0 for the lowest one), kJ per mole of atoms: 14.56

POSCAR file:
```
Ho3ErIn4
1.0
-1.712 3.395 9.660
1.712 -3.395 9.660
1.712 3.395 -9.660
Ho Er In
3 1 4
Direct
0.000 0.000 0.000
0.274 0.774 0.500
0.726 0.226 0.500
0.500 0.500 0.000
0.096 0.374 0.723
0.349 0.626 0.723
0.651 0.374 0.277
0.904 0.626 0.277
```

(9)
This record from Alexandria describes BaMgAg after structural relaxation. The functional is PBE.

Calculated values
V, A^3/atom: 30.2
Size of the total moment, μB per formula unit: 0.000
Calculated density, Mg/m³: 4.95
Energy relative to the elements, eV per formula unit: -0.38

POSCAR file:
```
BaMgAg
1.0
-1.892 1.892 6.320
1.892 -1.892 6.320
1.892 1.892 -6.320
Ba Mg Ag
1 1 1
Direct
0.000 0.000 0.000
0.284 0.284 0.000
0.691 0.691 0.000
```

(10)
This record from Alexandria describes Te2RuSe after structural relaxation. The functional is PBE.

Calculated values
V, A^3/atom: 22.5
Size of the total moment, μB per formula unit: 0.000
Calculated density, Mg/m³: 8.05
Electronic total energy, eV per cell: -18.1

POSCAR file:
```
Te2RuSe
1.0
3.863 0.000 0.000
0.000 4.166 0.000
0.000 0.000 5.581
Te Ru Se
2 1 1
Direct
0.000 0.000 0.000
0.500 0.500 0.500
0.000 0.000 0.500
0.500 0.500 0.000
```

(11)
This record from Alexandria describes Sn2PdI after structural relaxation. The functional is PBE.

Calculated values
V, A^3/atom: 25.8
Size of the total moment, μB per formula unit: 0.000
Calculated density, Mg/m³: 7.58
Polymorph energy (0 for the lowest one), kJ per mole of atoms: 48.26

POSCAR file:
```
Sn2PdI
1.0
0.000 3.722 3.722
3.722 0.000 3.722
3.722 3.722 0.000
Sn Pd I
2 1 1
Direct
0.250 0.250 0.250
0.750 0.750 0.750
0.000 0.000 0.000
0.500 0.500 0.500
```

(12)
This record from Alexandria describes LiTcPt after structural relaxation. The functional is PBE.

Calculated values
V, A^3/atom: 14.5
Size of the total moment, μB per formula unit: 0.000
Calculated density, Mg/m³: 11.47
Energy relative to the elements, eV per formula unit: -0.49
Polymorph energy (0 for the lowest one), kJ per mole of atoms: 7.32

POSCAR file:
```
LiTcPt
1.0
2.694 0.000 0.000
0.000 4.539 0.000
-0.770 0.000 7.104
Li Tc Pt
2 2 2
Direct
0.000 0.000 0.000
0.382 0.000 0.652
0.110 0.500 0.434
0.934 0.500 0.752
0.514 0.500 0.076
0.607 0.000 0.322
```